[1]
A plane-wave DFT calculation with GGA-PBE was carried out for a relaxed Tb6Pr8Mg crystal.

Unit cell a=9.4515 b=9.4515 c=6.5934 alpha=90.00 beta=90.00 gamma=120.00
Element x y z (fractional)
Tb (0.0958, 0.6514, 0.1629)
Tb (0.3486, 0.4444, 0.1629)
Tb (0.4444, 0.0958, 0.8371)
Tb (0.5556, 0.9042, 0.1629)
Tb (0.6514, 0.5556, 0.8371)
Tb (0.9042, 0.3486, 0.8371)
Pr (0.0396, 0.7632, 0.6763)
Pr (0.2368, 0.2763, 0.6763)
Pr (0.2763, 0.0396, 0.3237)
Pr (0.3333, 0.6667, 0.6344)
Pr (0.6667, 0.3333, 0.3656)
Pr (0.7237, 0.9604, 0.6763)
Pr (0.7632, 0.7237, 0.3237)
Pr (0.9604, 0.2368, 0.3237)
Mg (0.0000, 0.0000, 0.0000)

Calculated values
- SG: P-3 (147)
- Uncorrected energy: -65.68 eV/f.u.

---

[2]
A plane-wave DFT calculation with GGA-PBE was carried out for a relaxed Tb5Pr6Mg crystal.

Unit cell a=9.5809 b=9.5809 c=9.5809 alpha=148.81 beta=116.71 gamma=72.25
Element x y z (fractional)
Tb (0.0000, 0.0000, 0.0000)
Tb (0.1645, 0.6645, 0.5000)
Tb (0.3300, 0.3300, 0.0000)
Tb (0.6700, 0.6700, 0.0000)
Tb (0.8355, 0.3355, 0.5000)
Pr (0.0872, 0.8339, 0.2533)
Pr (0.2531, 0.5000, 0.7531)
Pr (0.4193, 0.1661, 0.2533)
Pr (0.5807, 0.8339, 0.7467)
Pr (0.7469, 0.5000, 0.2469)
Pr (0.9128, 0.1661, 0.7467)
Mg (0.5000, 0.0000, 0.5000)

Calculated values
- SG: Immm (71)
- Uncorrected energy: -53.27 eV/f.u.

---

[3]
A plane-wave DFT calculation with GGA-PBE was carried out for a relaxed Tb4Pr15Mg crystal.

Unit cell a=5.1720 b=5.1720 c=25.9536 alpha=90.00 beta=90.00 gamma=90.00
Element x y z (fractional)
Tb (0.0000, 0.0000, 0.1007)
Tb (0.0000, 0.0000, 0.3025)
Tb (0.0000, 0.0000, 0.6975)
Tb (0.0000, 0.0000, 0.8993)
Pr (0.0000, 0.5000, 0.0000)
Pr (0.0000, 0.5000, 0.2014)
Pr (0.0000, 0.5000, 0.4021)
Pr (0.0000, 0.5000, 0.5979)
Pr (0.0000, 0.5000, 0.7986)
Pr (0.5000, 0.0000, 0.0000)
Pr (0.5000, 0.0000, 0.2014)
Pr (0.5000, 0.0000, 0.4021)
Pr (0.5000, 0.0000, 0.5979)
Pr (0.5000, 0.0000, 0.7986)
Pr (0.5000, 0.5000, 0.1011)
Pr (0.5000, 0.5000, 0.3028)
Pr (0.5000, 0.5000, 0.5000)
Pr (0.5000, 0.5000, 0.6972)
Pr (0.5000, 0.5000, 0.8989)
Mg (0.0000, 0.0000, 0.5000)

Calculated values
- SG: P4/mmm (123)
- Uncorrected energy: -91.67 eV/f.u.

---

[4]
A plane-wave DFT calculation with GGA-PBE was carried out for a relaxed TbPr4Mg3 crystal.

Unit cell a=3.8750 b=5.6498 c=11.3693 alpha=90.00 beta=90.00 gamma=90.00
Element x y z (fractional)
Tb (0.0000, 0.0000, 0.0000)
Pr (0.5000, 0.0000, 0.2608)
Pr (0.5000, 0.0000, 0.7392)
Pr (0.5000, 0.5000, 0.0000)
Pr (0.5000, 0.5000, 0.5000)
Mg (0.0000, 0.0000, 0.5000)
Mg (0.0000, 0.5000, 0.2501)
Mg (0.0000, 0.5000, 0.7499)

Calculated values
- SG: Pmmm (47)
- Uncorrected energy: -28.89 eV/f.u.